# Nd3Dy3Sc2 PBE-GGA optimized geometry
data_Nd3Dy3Sc2
_chemical_formula_sum 'Nd3 Dy3 Sc2'
_symmetry_space_group_name_H-M 'P 1'
_symmetry_Int_Tables_number 1
_cell_length_a 5.497
_cell_length_b 5.694
_cell_length_c 8.984
_cell_angle_alpha 109.49
_cell_angle_beta 107.81
_cell_angle_gamma 90.00
loop_
_symmetry_equiv_pos_as_xyz
'x,y,z'
loop_
_atom_site_label
_atom_site_type_symbol
_atom_site_fract_x
_atom_site_fract_y
_atom_site_fract_z
Nd1 Nd 0.641 0.093 0.281
Dy1 Dy 0.000 0.000 0.000
Sc1 Sc 0.750 0.689 0.500
Nd2 Nd 0.500 0.500 0.000
Dy2 Dy 0.861 0.322 0.722
Dy3 Dy 0.139 0.678 0.278
Sc2 Sc 0.250 0.311 0.500
Nd3 Nd 0.359 0.907 0.719
# E above lowest polymorph = 0.29 eV/f.u.
# formation enthalpy at 0 K = 79 meV per atom
# spin magnetization = 0.00 μB per cell
# calculated total energy = -5.0177 eV/atom